A geometry-optimized Tm3Cd2Pd structure, computed with PBE.

Results
SG ... P4/mmm, No. 123
ΔH_f (0 K) ... -3.122 eV per formula unit
Calculated total energy ... -23.56 eV per cell
Calculated volume ... 142 Å³ per cell

a b c (Å): 3.5860 3.5860 11.0339
angles (deg): 90.00 90.00 90.00
Closest atoms and distances in Å follow each position.
Fractional coordinates of all 6 atoms:
1 Tm 0.0000 0.0000 0.0000  8 Cd 3.17
2 Tm 0.0000 0.0000 0.3514  4 Pd 3.02, 4 Cd 3.22, 1 Tm 3.28
3 Tm 0.0000 0.0000 0.6486  4 Pd 3.02, 4 Cd 3.22, 1 Tm 3.28
4 Cd 0.5000 0.5000 0.1718  8 Tm 3.17-3.22
5 Cd 0.5000 0.5000 0.8282  8 Tm 3.17-3.22
6 Pd 0.5000 0.5000 0.5000  8 Tm 3.02



A geometry-optimized KHgBr4 structure, computed with PBE.

Results
SG ... C2/c, No. 15
Calculated total energy ... -24.51 eV per cell
Formation energy from raw total energies ... -0.69 eV per atom
Calculated volume ... 440 Å³ per cell

a b c (Å): 8.5605 8.5605 8.5287
angles (deg): 108.40 108.40 48.69
Closest atoms and distances in Å follow each position.
Fractional coordinates of all 12 atoms:
1 K 0.2078 0.7922 0.7500  6 Br 3.25-3.40
2 K 0.7922 0.2078 0.2500  6 Br 3.25-3.40
3 Hg 0.0000 0.5000 0.0000  4 Br 2.57-2.79
4 Hg 0.5000 0.0000 0.5000  4 Br 2.57-2.79
5 Br 0.1081 0.2320 0.7316  1 Hg 2.57
6 Br 0.2320 0.1081 0.2316  1 Hg 2.57
7 Br 0.3192 0.5145 0.0117  1 Hg 2.79, 1 Br 3.00
8 Br 0.4855 0.6808 0.4883  1 Hg 2.79, 1 Br 3.00
9 Br 0.5145 0.3192 0.5117  1 Hg 2.79, 1 Br 3.00
10 Br 0.6808 0.4855 0.9883  1 Hg 2.79, 1 Br 3.00
11 Br 0.7680 0.8919 0.7684  1 Hg 2.57
12 Br 0.8919 0.7680 0.2684  1 Hg 2.57



A geometry-optimized La2Pm3Tl2 structure, computed with PBE.

Results
SG ... R-3m, No. 166
ΔH_f (0 K) ... -1.525 eV per formula unit
Calculated total energy ... -30.36 eV per cell
Calculated volume ... 228 Å³ per cell

a b c (Å): 8.9659 8.9659 8.9659
angles (deg): 36.51 36.51 36.51
Closest atoms and distances in Å follow each position.
Fractional coordinates of all 7 atoms:
1 La 0.0785 0.0785 0.0785  4 Tl 3.37-3.50, 3 Pm 3.63
2 La 0.9215 0.9215 0.9215  4 Tl 3.37-3.50, 3 Pm 3.63
3 Pm 0.3467 0.3467 0.3467  1 Tl 3.23, 3 Pm 3.31
4 Pm 0.5000 0.5000 0.5000  6 Tl 3.49, 2 Pm 3.84
5 Pm 0.6533 0.6533 0.6533  1 Tl 3.23, 3 Pm 3.31
6 Tl 0.2179 0.2179 0.2179  4 Pm 3.23-3.49, 4 La 3.37-3.50
7 Tl 0.7821 0.7821 0.7821  4 Pm 3.23-3.49, 4 La 3.37-3.50



A geometry-optimized RbPuZn2O6 structure, computed with PBE.

Results
SG ... C2/c, No. 15
Calculated total energy ... -132.18 eV per cell
Formation energy from raw total energies ... -1.85 eV per atom
Calculated volume ... 335 Å³ per cell

a b c (Å): 7.0043 7.0043 6.9187
angles (deg): 90.08 90.08 99.57
Closest atoms and distances in Å follow each position.
Fractional coordinates of all 20 atoms:
1 Rb 0.0728 0.9272 0.7500  6 O 2.92-3.09
2 Rb 0.9272 0.0728 0.2500  6 O 2.92-3.09
3 Pu 0.3137 0.6863 0.2500  6 O 1.97-2.13
4 Pu 0.6863 0.3137 0.7500  6 O 1.97-2.13
5 Zn 0.2255 0.4739 0.7501  4 O 1.90-2.01
6 Zn 0.4739 0.2255 0.2501  4 O 1.90-2.01
7 Zn 0.5261 0.7745 0.7499  4 O 1.90-2.01
8 Zn 0.7745 0.5261 0.2499  4 O 1.90-2.01
9 O 0.0281 0.6747 0.2492  1 Zn 1.90, 1 Pu 1.99
10 O 0.2807 0.4009 0.2492  1 Zn 1.97, 1 Pu 1.97
11 O 0.3153 0.6838 0.5575  2 Zn 2.01, 1 Pu 2.13
12 O 0.3162 0.6847 0.9425  2 Zn 2.01, 1 Pu 2.13
13 O 0.3253 0.9719 0.2508  1 Zn 1.90, 1 Pu 1.99
14 O 0.4009 0.2807 0.7492  1 Zn 1.97, 1 Pu 1.97
15 O 0.5991 0.7193 0.2508  1 Zn 1.97, 1 Pu 1.97
16 O 0.6747 0.0281 0.7492  1 Zn 1.90, 1 Pu 1.99
17 O 0.6838 0.3153 0.0575  2 Zn 2.01, 1 Pu 2.13
18 O 0.6847 0.3162 0.4425  2 Zn 2.01, 1 Pu 2.13
19 O 0.7193 0.5991 0.7508  1 Zn 1.97, 1 Pu 1.97
20 O 0.9719 0.3253 0.7508  1 Zn 1.90, 1 Pu 1.99



A geometry-optimized YRu structure, computed with PBE.

Results
SG ... P4/nmm, No. 129
ΔH_f (0 K) ... 0.315 eV per formula unit
Calculated total energy ... -30.85 eV per cell
Calculated volume ... 85 Å³ per cell

a b c (Å): 3.7378 3.7378 6.0594
angles (deg): 90.00 90.00 90.00
Closest atoms and distances in Å follow each position.
Fractional coordinates of all 4 atoms:
1 Y 0.2500 0.2500 0.1895  5 Ru 2.71-2.84
2 Y 0.7500 0.7500 0.8105  5 Ru 2.71-2.84
3 Ru 0.2500 0.2500 0.6370  5 Y 2.71-2.84
4 Ru 0.7500 0.7500 0.3630  5 Y 2.71-2.84



A geometry-optimized MgVSb3 structure, computed with PBE.

Results
SG ... Pm-3m, No. 221
Calculated total energy ... -21.74 eV per cell
Formation energy from raw total energies ... 0.27 eV per atom
Calculated volume ... 137 Å³ per cell

a b c (Å): 5.1579 5.1579 5.1579
angles (deg): 90.00 90.00 90.00
Closest atoms and distances in Å follow each position.
Fractional coordinates of all 5 atoms:
1 Mg 0.0000 0.0000 0.0000  12 Sb 3.65
2 V 0.5000 0.5000 0.5000  6 Sb 2.58
3 Sb 0.0000 0.5000 0.5000  2 V 2.58
4 Sb 0.5000 0.0000 0.5000  2 V 2.58
5 Sb 0.5000 0.5000 0.0000  2 V 2.58